(1)
{
  "formula": "Co3AgAs",
  "functional": "PBE",
  "state": "relaxed",
  "relative_energy_mev_per_atom": 0,
  "formation_enthalpy_0k_ev_per_atom": 0.67,
  "sg": "Pm-3m (221)",
  "cell": [[4.344, 0.000, 0.000], [0.000, 4.344, 0.000], [0.000, 0.000, 4.344]],
  "species": ["Co", "Co", "Co", "Ag", "As"],
  "fractional_positions": [[0.000, 0.000, 0.500], [0.000, 0.500, 0.000], [0.500, 0.000, 0.000], [0.500, 0.500, 0.500], [0.000, 0.000, 0.000]]
}

=====

(2)
{
  "formula": "NaSmSnHg",
  "functional": "PBE",
  "state": "relaxed",
  "relative_energy_mev_per_atom": 0,
  "formation_enthalpy_0k_ev_per_atom": -0.45,
  "sg": "F-43m (216)",
  "cell": [[0.000, 3.762, 3.762], [3.762, 0.000, 3.762], [3.762, 3.762, 0.000]],
  "species": ["Na", "Sm", "Sn", "Hg"],
  "fractional_positions": [[0.000, 0.000, 0.000], [0.500, 0.500, 0.500], [0.250, 0.250, 0.250], [0.750, 0.750, 0.750]]
}

=====

(3)
{
  "formula": "Y2MgZn",
  "functional": "PBE",
  "state": "relaxed",
  "relative_energy_mev_per_atom": 191,
  "formation_enthalpy_0k_ev_per_atom": -0.04,
  "sg": "R3m (160)",
  "cell": [[1.790, 1.034, 9.841], [-1.790, 1.034, 9.841], [0.000, -2.067, 9.841]],
  "species": ["Y", "Y", "Mg", "Zn"],
  "fractional_positions": [[0.000, 0.000, 0.000], [0.185, 0.185, 0.185], [0.759, 0.759, 0.759], [0.593, 0.593, 0.593]]
}

=====

(4)
{
  "formula": "Tm5OsRh4",
  "functional": "PBE",
  "state": "relaxed",
  "formation_enthalpy_0k_ev_per_atom": -0.83,
  "sg": "P4/mmm (123)",
  "cell": [[3.380, 0.000, 0.000], [0.000, 3.380, 0.000], [0.000, 0.000, 16.801]],
  "species": ["Tm", "Tm", "Tm", "Tm", "Tm", "Os", "Rh", "Rh", "Rh", "Rh"],
  "fractional_positions": [[0.000, 0.000, 0.000], [0.000, 0.000, 0.201], [0.000, 0.000, 0.402], [0.000, 0.000, 0.598], [0.000, 0.000, 0.799], [0.500, 0.500, 0.500], [0.500, 0.500, 0.100], [0.500, 0.500, 0.297], [0.500, 0.500, 0.703], [0.500, 0.500, 0.900]]
}

=====

(5)
{
  "formula": "Be2Cr2Sb",
  "functional": "PBE",
  "state": "relaxed",
  "formation_energy_uncorrected_ev_per_atom": 0.20,
  "sg": "P4/mbm (127)",
  "cell": [[6.070, 0.000, 0.000], [0.000, 6.070, 0.000], [0.000, 0.000, 3.171]],
  "species": ["Be", "Be", "Be", "Be", "Cr", "Cr", "Cr", "Cr", "Sb", "Sb"],
  "fractional_positions": [[0.115, 0.385, 0.000], [0.385, 0.885, 0.000], [0.615, 0.115, 0.000], [0.885, 0.615, 0.000], [0.172, 0.672, 0.500], [0.328, 0.172, 0.500], [0.672, 0.828, 0.500], [0.828, 0.328, 0.500], [0.000, 0.000, 0.000], [0.500, 0.500, 0.000]]
}

=====

(6)
{
  "formula": "Er2Tl3ZnS6",
  "functional": "PBE",
  "state": "relaxed",
  "formation_energy_uncorrected_ev_per_atom": -1.05,
  "sg": "C2/m (12)",
  "cell": [[3.426, -5.905, 0.000], [3.426, 5.905, 0.000], [-2.331, 0.000, 7.229]],
  "species": ["Er", "Er", "Tl", "Tl", "Tl", "Zn", "S", "S", "S", "S", "S", "S"],
  "fractional_positions": [[0.166, 0.834, 0.000], [0.834, 0.166, 0.000], [0.000, 0.000, 0.500], [0.330, 0.670, 0.500], [0.670, 0.330, 0.500], [0.500, 0.500, 0.000], [0.114, 0.434, 0.805], [0.240, 0.240, 0.205], [0.434, 0.114, 0.805], [0.566, 0.886, 0.195], [0.760, 0.760, 0.795], [0.886, 0.566, 0.195]]
}

=====

(7)
{
  "formula": "Cu2HSe2",
  "functional": "PBE",
  "state": "relaxed",
  "sg": "P-1 (2)",
  "total_energy_ry_per_atom": -0.278,
  "cell": [[3.932, 0.000, 0.000], [0.002, 6.812, 0.000], [1.950, 0.732, 7.355]],
  "species": ["Cu", "Cu", "Cu", "Cu", "H", "H", "Se", "Se", "Se", "Se"],
  "fractional_positions": [[0.041, 0.335, 0.423], [0.393, 0.163, 0.712], [0.607, 0.837, 0.288], [0.959, 0.665, 0.577], [0.299, 0.746, 0.903], [0.701, 0.254, 0.097], [0.127, 0.660, 0.247], [0.397, 0.819, 0.703], [0.603, 0.181, 0.297], [0.873, 0.340, 0.753]]
}

=====

(8)
{
  "formula": "HgTe2Au",
  "functional": "PBE",
  "state": "relaxed",
  "formation_energy_uncorrected_ev_per_atom": -0.04,
  "sg": "I4_1/amd (141)",
  "cell": [[-2.995, 2.995, 6.116], [2.995, -2.995, 6.116], [2.995, 2.995, -6.116]],
  "species": ["Hg", "Hg", "Te", "Te", "Te", "Te", "Au", "Au"],
  "fractional_positions": [[0.375, 0.625, 0.750], [0.625, 0.375, 0.250], [0.098, 0.348, 0.750], [0.348, 0.098, 0.250], [0.652, 0.902, 0.750], [0.902, 0.652, 0.250], [0.125, 0.875, 0.250], [0.875, 0.125, 0.750]]
}

=====

(9)
{
  "formula": "YReHg2",
  "functional": "PBE",
  "state": "relaxed",
  "relative_energy_mev_per_atom": 198,
  "formation_enthalpy_0k_ev_per_atom": 0.48,
  "sg": "P4/mmm (123)",
  "cell": [[3.156, 0.000, 0.000], [0.000, 3.156, 0.000], [0.000, 0.000, 8.327]],
  "species": ["Y", "Re", "Hg", "Hg"],
  "fractional_positions": [[0.000, 0.000, 0.000], [0.000, 0.000, 0.500], [0.500, 0.500, 0.271], [0.500, 0.500, 0.729]]
}

=====

(10)
{
  "formula": "Y2ZrP",
  "functional": "PBE",
  "state": "relaxed",
  "formation_enthalpy_0k_ev_per_atom": -0.48,
  "sg": "Immm (71)",
  "cell": [[-1.765, 1.952, 7.661], [1.765, -1.952, 7.661], [1.765, 1.952, -7.661]],
  "species": ["Y", "Y", "Zr", "P"],
  "fractional_positions": [[0.168, 0.168, 0.000], [0.832, 0.832, 0.000], [0.500, 0.000, 0.500], [0.000, 0.500, 0.500]]
}

=====

(11)
{
  "formula": "PmTmSc",
  "functional": "PBE",
  "state": "relaxed",
  "relative_energy_mev_per_atom": 1,
  "formation_enthalpy_0k_ev_per_atom": 0.05,
  "sg": "Cmcm (63)",
  "cell": [[2.442, -7.348, 0.000], [2.442, 7.348, 0.000], [0.000, 0.000, 4.931]],
  "species": ["Pm", "Pm", "Tm", "Tm", "Sc", "Sc"],
  "fractional_positions": [[0.249, 0.751, 0.750], [0.751, 0.249, 0.250], [0.080, 0.920, 0.250], [0.920, 0.080, 0.750], [0.421, 0.579, 0.250], [0.579, 0.421, 0.750]]
}

=====

(12)
{
  "formula": "Mo3PdRh",
  "functional": "PBE",
  "state": "relaxed",
  "relative_energy_mev_per_atom": 0,
  "formation_enthalpy_0k_ev_per_atom": 1.65,
  "sg": "Pm-3m (221)",
  "cell": [[4.664, 0.000, 0.000], [0.000, 4.664, 0.000], [0.000, 0.000, 4.664]],
  "species": ["Mo", "Mo", "Mo", "Pd", "Rh"],
  "fractional_positions": [[0.000, 0.000, 0.500], [0.000, 0.500, 0.000], [0.500, 0.000, 0.000], [0.500, 0.500, 0.500], [0.000, 0.000, 0.000]]
}

=====

Calculated N(E_F) (states/eV per cell), listed in the same order as above: 9.4, 1.6, 4.0, 3.8, 5.7, 5.7, 5.7, 3.7, 3.1, 4.5, 9.7, 7.5
Calculated total moment (μB per formula unit), listed in the same order as above: 3.9, 0.0, 0.0, 0.0, 0.0, 0.0, 0.0, 0.0, 0.9, 0.0, 0.0, 0.0